# 1
# La2Dy2Tm3, relaxed, DFT GGA-PBE
data_La2Dy2Tm3
_symmetry_space_group_name_H-M 'I 21 3'
_symmetry_Int_Tables_number 199
_symmetry_space_group_name_Hall 'I 2b 2c 3'
_cell_length_a 9.7526
_cell_length_b 9.7526
_cell_length_c 9.7526
_cell_angle_alpha 90.00
_cell_angle_beta 90.00
_cell_angle_gamma 90.00
loop_
_atom_site_label
_atom_site_type_symbol
_atom_site_fract_x
_atom_site_fract_y
_atom_site_fract_z
_atom_site_occupancy
La1 La 0.1589 0.3411 0.6589 1
Dy1 Dy 0.0394 0.0394 0.0394 1
Tm1 Tm 0.0000 0.2500 0.2983 1
# Spin magnetization, μB/cell: 0.00
# ΔE to the lowest computed polymorph, meV per atom: 62
# Energy of formation, eV per atom: 0.210

=====

# 2
# La5DyTm, relaxed, DFT GGA-PBE
data_La5DyTm
_symmetry_space_group_name_H-M 'C 1 2/c 1'
_symmetry_Int_Tables_number 15
_symmetry_space_group_name_Hall '-C 2yc'
_cell_length_a 6.2568
_cell_length_b 17.7060
_cell_length_c 9.2150
_cell_angle_alpha 90.00
_cell_angle_beta 101.29
_cell_angle_gamma 90.00
loop_
_atom_site_label
_atom_site_type_symbol
_atom_site_fract_x
_atom_site_fract_y
_atom_site_fract_z
_atom_site_occupancy
La1 La 0.0000 0.1376 0.2500 1
La2 La 0.1083 0.3496 0.9665 1
La3 La 0.2030 0.1852 0.6476 1
Dy1 Dy 0.0000 0.0000 0.0000 1
Tm1 Tm 0.0000 0.4896 0.2500 1
# Spin magnetization, μB/cell: 0.00
# Energy of formation, eV per atom: 0.169

=====

# 3
# La4Dy5Tm2, relaxed, DFT GGA-PBE
data_La4Dy5Tm2
_symmetry_space_group_name_H-M 'C 1 2/m 1'
_symmetry_Int_Tables_number 12
_symmetry_space_group_name_Hall '-C 2y'
_cell_length_a 24.0311
_cell_length_b 3.6793
_cell_length_c 8.8920
_cell_angle_alpha 90.00
_cell_angle_beta 111.35
_cell_angle_gamma 90.00
loop_
_atom_site_label
_atom_site_type_symbol
_atom_site_fract_x
_atom_site_fract_y
_atom_site_fract_z
_atom_site_occupancy
La1 La 0.0410 0.0000 0.3740 1
La2 La 0.1822 0.5000 0.4809 1
Dy1 Dy 0.0000 0.5000 0.0000 1
Dy2 Dy 0.1259 0.0000 0.1209 1
Dy3 Dy 0.2482 0.0000 0.8398 1
Tm1 Tm 0.1098 0.5000 0.7731 1
# Spin magnetization, μB/cell: 0.00
# Energy of formation, eV per atom: 0.053

=====

# 4
# LaDy3Tm12, relaxed, DFT GGA-PBE
data_LaDy3Tm12
_symmetry_space_group_name_H-M 'P 4/m m m'
_symmetry_Int_Tables_number 123
_symmetry_space_group_name_Hall '-P 4 2'
_cell_length_a 4.9684
_cell_length_b 4.9684
_cell_length_c 19.9156
_cell_angle_alpha 90.00
_cell_angle_beta 90.00
_cell_angle_gamma 90.00
loop_
_atom_site_label
_atom_site_type_symbol
_atom_site_fract_x
_atom_site_fract_y
_atom_site_fract_z
_atom_site_occupancy
La1 La 0.0000 0.0000 0.0000 1
Dy1 Dy 0.0000 0.0000 0.2514 1
Dy2 Dy 0.0000 0.0000 0.5000 1
Tm1 Tm 0.0000 0.5000 0.1284 1
Tm2 Tm 0.0000 0.5000 0.3760 1
Tm3 Tm 0.5000 0.5000 0.0000 1
Tm4 Tm 0.5000 0.5000 0.2524 1
Tm5 Tm 0.5000 0.5000 0.5000 1
# Spin magnetization, μB/cell: 0.00
# Energy of formation, eV per atom: 0.029

=====

# 5
# La7Dy12Tm, relaxed, DFT GGA-PBE
data_La7Dy12Tm
_symmetry_space_group_name_H-M 'I m -3 m'
_symmetry_Int_Tables_number 229
_symmetry_space_group_name_Hall '-I 4 2 3'
_cell_length_a 11.3628
_cell_length_b 11.3628
_cell_length_c 11.3628
_cell_angle_alpha 90.00
_cell_angle_beta 90.00
_cell_angle_gamma 90.00
loop_
_atom_site_label
_atom_site_type_symbol
_atom_site_fract_x
_atom_site_fract_y
_atom_site_fract_z
_atom_site_occupancy
La1 La 0.0000 0.0000 0.5000 1
La2 La 0.2500 0.2500 0.2500 1
Dy1 Dy 0.0000 0.2452 0.2452 1
Tm1 Tm 0.0000 0.0000 0.0000 1
# Spin magnetization, μB/cell: 0.00
# Energy of formation, eV per atom: 0.621

=====

# 6
# La3DyTm6, relaxed, DFT GGA-PBE
data_La3DyTm6
_symmetry_space_group_name_H-M 'C m c 21'
_symmetry_Int_Tables_number 36
_symmetry_space_group_name_Hall 'C 2c -2'
_cell_length_a 9.4170
_cell_length_b 15.5454
_cell_length_c 8.9057
_cell_angle_alpha 90.00
_cell_angle_beta 90.00
_cell_angle_gamma 90.00
loop_
_atom_site_label
_atom_site_type_symbol
_atom_site_fract_x
_atom_site_fract_y
_atom_site_fract_z
_atom_site_occupancy
La1 La 0.0000 0.0505 0.0000 1
La2 La 0.2472 0.4374 0.1792 1
Dy1 Dy 0.0000 0.2255 0.7531 1
Tm1 Tm 0.0000 0.2809 0.1193 1
Tm2 Tm 0.0000 0.4452 0.8636 1
Tm3 Tm 0.1723 0.3529 0.5123 1
Tm4 Tm 0.1790 0.1547 0.3561 1
# Spin magnetization, μB/cell: 0.00
# ΔE to the lowest computed polymorph, meV per atom: 0
# Energy of formation, eV per atom: 0.137

=====

> energy of formation of number 5 (La7Dy12Tm)?

0.621 eV per atom